VASP calculation (PBE) on a relaxed SrCd6Ag2 crystal.

POSCAR file:
```
SrCd6Ag2
1.0
9.192 0.000 0.000
4.596 7.960 0.000
4.596 2.653 7.505
Cd Ag Sr
12 4 2
direct
0.757 0.757 0.243
0.493 0.007 0.493
0.007 0.493 0.007
0.007 0.493 0.493
0.007 0.007 0.493
0.757 0.243 0.243
0.493 0.007 0.007
0.757 0.243 0.757
0.243 0.243 0.757
0.493 0.493 0.007
0.243 0.757 0.757
0.243 0.757 0.243
0.125 0.125 0.125
0.625 0.125 0.125
0.125 0.125 0.625
0.125 0.625 0.125
0.750 0.750 0.750
0.500 0.500 0.500
```

Properties
**Polymorph energy (0 for the lowest one)**: 292 meV per atom
**Energy of formation from the pure elements**: 1.33 eV per formula unit
**VASP energy**: -1.28 eV/atom
**Total magnetization**: 0.00 μB/cell


VASP calculation (PBE) on a relaxed HfZnGeP2 crystal.

POSCAR file:
```
HfZnGeP2
1.0
4.946 0.000 0.000
0.000 5.270 0.000
0.000 0.000 4.946
Zn P Ge Hf
1 2 1 1
direct
0.500 0.500 0.500
0.000 0.000 0.500
0.500 0.000 0.000
0.000 0.500 0.000
0.000 0.000 0.000
```

Properties
**Energy of formation from the pure elements**: 2.24 eV per formula unit
**VASP energy**: -4.88 eV/atom
**Total magnetization**: 0.00 μB/cell


VASP calculation (PBE) on a relaxed MgZnMo2 crystal.

POSCAR file:
```
MgZnMo2
1.0
5.192 0.003 0.000
2.434 4.586 0.000
-3.813 -2.294 2.674
Zn Mo Mg
1 2 1
direct
0.250 0.750 0.500
0.000 0.000 0.000
0.500 0.500 0.000
0.750 0.250 0.500
```

Properties
**Polymorph energy (0 for the lowest one)**: 96 meV per atom
**Energy of formation from the pure elements**: 0.89 eV per formula unit
**VASP energy**: -5.91 eV/atom
**Total magnetization**: 0.00 μB/cell


VASP calculation (PBE) on a relaxed YSeS3 crystal.

POSCAR file:
```
YSeS3
1.0
-3.594 -1.369 -2.802
0.123 -4.335 1.959
-3.116 1.407 3.309
S Y Se
3 1 1
direct
0.500 0.000 0.000
0.000 0.500 0.000
0.000 0.000 0.500
0.500 0.500 0.500
0.000 0.000 0.000
```

Properties
**Polymorph energy (0 for the lowest one)**: 0 meV per atom
**ΔE_f (raw)**: -8.6 kcal/mol of atoms
**VASP energy**: -4.84 eV/atom
**Total magnetization**: 0.00 μB/cell


VASP calculation (PBE) on a relaxed Tm2PuO crystal.

POSCAR file:
```
Tm2PuO
1.0
-1.583 2.862 -0.789
-3.131 0.550 1.102
1.794 5.091 7.694
O Pu Tm
1 1 2
direct
0.500 0.500 0.500
0.000 0.000 0.000
0.118 0.118 0.645
0.882 0.882 0.355
```

Properties
**Polymorph energy (0 for the lowest one)**: 0 meV per atom
**ΔE_f (raw)**: -26.0 kcal/mol of atoms
**VASP energy**: -8.19 eV/atom
**Total magnetization**: 6.23 μB/cell


VASP calculation (PBE) on a relaxed Pr2Dy4Y7 crystal.

POSCAR file:
```
Pr2Dy4Y7
1.0
-1.159 -5.466 -2.484
-0.992 0.921 5.963
-12.553 3.884 -2.688
Y Pr Dy
7 2 4
direct
0.647 0.647 0.218
0.000 0.353 0.218
0.000 0.647 0.782
0.353 0.353 0.782
0.647 0.000 0.782
0.353 0.000 0.218
0.000 0.000 0.000
0.333 0.667 0.000
0.667 0.333 0.000
0.000 0.000 0.604
0.667 0.333 0.500
0.333 0.667 0.500
0.000 0.000 0.396
```

Properties
**Energy of formation from the pure elements**: 2.43 eV per formula unit
**VASP energy**: -5.45 eV/atom
**Total magnetization**: 0.00 μB/cell